(1)
Entry from OQMD: crystalline La2NdZn2Si4Pd2 at its relaxed geometry (PBE).

Calculated values
Total energy = -0.1924 hartree per atom
Offset from the most stable computed form = 19 meV per atom

a b c (Å): 4.199 4.288 24.737
angles (deg): 90.00 90.00 90.00
Space group Immm (No. 71)
Unique sites:
La: 0.000 0.000 0.147 (multiplicity 4)
Nd: 0.000 0.500 0.500 (multiplicity 2)
Zn: 0.000 0.000 0.403 (multiplicity 4)
Si: 0.000 0.000 0.303 (multiplicity 4)
Si: 0.000 0.500 0.048 (multiplicity 4)
Pd: 0.000 0.500 0.250 (multiplicity 4)

---

(2)
Entry from OQMD: crystalline LaNd2Zn2Si4Pd2 at its relaxed geometry (PBE).

Calculated values
Total energy = -0.1919 hartree per atom
Offset from the most stable computed form = 0 meV per atom

a b c (Å): 4.197 4.276 24.530
angles (deg): 90.00 90.00 90.00
Space group Immm (No. 71)
Unique sites:
La: 0.000 0.000 0.000 (multiplicity 2)
Nd: 0.000 0.500 0.352 (multiplicity 4)
Zn: 0.000 0.500 0.098 (multiplicity 4)
Si: 0.000 0.000 0.451 (multiplicity 4)
Si: 0.000 0.500 0.196 (multiplicity 4)
Pd: 0.000 0.000 0.250 (multiplicity 4)

---

(3)
Entry from OQMD: crystalline La2NdZn2Si4Pd2 at its relaxed geometry (PBE).

Calculated values
Total energy = -0.1930 hartree per atom
Offset from the most stable computed form = 0 meV per atom

a b c (Å): 4.169 4.263 25.313
angles (deg): 90.00 90.00 90.00
Space group Immm (No. 71)
Unique sites:
La: 0.000 0.000 0.147 (multiplicity 4)
Nd: 0.000 0.500 0.000 (multiplicity 2)
Zn: 0.000 0.500 0.250 (multiplicity 4)
Si: 0.000 0.000 0.308 (multiplicity 4)
Si: 0.000 0.500 0.453 (multiplicity 4)
Pd: 0.000 0.000 0.405 (multiplicity 4)

---

(4)
Entry from OQMD: crystalline LaNd2Zn2Si4Pd2 at its relaxed geometry (PBE).

Calculated values
Total energy = -0.1915 hartree per atom
Offset from the most stable computed form = 12 meV per atom

a b c (Å): 4.153 4.262 25.100
angles (deg): 90.00 90.00 90.00
Space group Immm (No. 71)
Unique sites:
La: 0.000 0.000 0.000 (multiplicity 2)
Nd: 0.000 0.500 0.147 (multiplicity 4)
Zn: 0.000 0.000 0.250 (multiplicity 4)
Si: 0.000 0.000 0.452 (multiplicity 4)
Si: 0.000 0.500 0.309 (multiplicity 4)
Pd: 0.000 0.500 0.405 (multiplicity 4)